Material: CoW2Se
Method: DFT, meta-GGA SCAN
State: single point on PBEsol structure

Summary:
Raw formation energy in eV per atom: 0.43

```
data_CoW2Se
_chemical_formula_sum 'Co1 W2 Se1'
_cell_length_a 2.9180
_cell_length_b 2.9180
_cell_length_c 6.5642
_cell_angle_alpha 90.00
_cell_angle_beta 90.00
_cell_angle_gamma 90.00
_space_group_name_H-M_alt 'P 1'
_space_group_IT_number 1
_space_group_name_Hall 'P 1'
loop_
_atom_site_label
_atom_site_fract_x
_atom_site_fract_y
_atom_site_fract_z
_atom_site_occupancy
Co1 0.0000 0.0000 0.0000 1
W1 0.5000 0.5000 0.2441 1
W2 0.5000 0.5000 0.7559 1
Se1 0.0000 0.0000 0.5000 1
```

***

Material: PrAlH6
Method: DFT, meta-GGA SCAN
State: single point on PBEsol structure

Summary:
Total DFT energy (no corrections) in eV/cell: -74.9

```
data_PrAlH6
_chemical_formula_sum 'Pr1 Al1 H6'
_cell_length_a 4.1986
_cell_length_b 4.1986
_cell_length_c 4.1986
_cell_angle_alpha 98.16
_cell_angle_beta 98.16
_cell_angle_gamma 98.16
_space_group_name_H-M_alt 'P 1'
_space_group_IT_number 1
_space_group_name_Hall 'P 1'
loop_
_atom_site_label
_atom_site_fract_x
_atom_site_fract_y
_atom_site_fract_z
_atom_site_occupancy
Pr1 0.0000 0.0000 0.0000 1
Al1 0.5000 0.5000 0.5000 1
H1 0.1995 0.1995 0.5611 1
H2 0.1995 0.5611 0.1995 1
H3 0.4389 0.8005 0.8005 1
H4 0.5611 0.1995 0.1995 1
H5 0.8005 0.4389 0.8005 1
H6 0.8005 0.8005 0.4389 1
```

***

Material: Ta4NiTe
Method: DFT, meta-GGA SCAN
State: single point on PBEsol structure

Summary:
Raw formation energy in eV per atom: 0.65

```
data_Ta4NiTe
_chemical_formula_sum 'Ta4 Ni1 Te1'
_cell_length_a 5.3952
_cell_length_b 5.3952
_cell_length_c 5.3952
_cell_angle_alpha 60.00
_cell_angle_beta 60.00
_cell_angle_gamma 60.00
_space_group_name_H-M_alt 'P 1'
_space_group_IT_number 1
_space_group_name_Hall 'P 1'
loop_
_atom_site_label
_atom_site_fract_x
_atom_site_fract_y
_atom_site_fract_z
_atom_site_occupancy
Ta1 0.3756 0.3756 0.3756 1
Ta2 0.3756 0.3756 0.8731 1
Ta3 0.3756 0.8731 0.3756 1
Ta4 0.8731 0.3756 0.3756 1
Ni1 0.7500 0.7500 0.7500 1
Te1 0.0000 0.0000 0.0000 1
```

***

Material: MgCdTc
Method: DFT, meta-GGA SCAN
State: single point on PBEsol structure

Summary:
Energy relative to the elements in eV per formula unit: 0.97

```
data_MgCdTc
_chemical_formula_sum 'Mg1 Cd1 Tc1'
_cell_length_a 4.6617
_cell_length_b 4.6617
_cell_length_c 2.6828
_cell_angle_alpha 90.00
_cell_angle_beta 90.00
_cell_angle_gamma 120.00
_space_group_name_H-M_alt 'P 1'
_space_group_IT_number 1
_space_group_name_Hall 'P 1'
loop_
_atom_site_label
_atom_site_fract_x
_atom_site_fract_y
_atom_site_fract_z
_atom_site_occupancy
Mg1 0.0000 0.0000 0.0000 1
Cd1 0.3333 0.6667 0.2621 1
Tc1 0.6667 0.3333 0.6296 1
```

***

Material: Zn2CoCl
Method: DFT, meta-GGA SCAN
State: single point on PBEsol structure

Summary:
Distance to the lowest polymorph of the same formula in eV/atom: 0.000
Raw formation energy in eV per atom: 0.06

```
data_Zn2CoCl
_chemical_formula_sum 'Zn2 Co1 Cl1'
_cell_length_a 2.9331
_cell_length_b 2.9331
_cell_length_c 6.6871
_cell_angle_alpha 90.00
_cell_angle_beta 90.00
_cell_angle_gamma 90.00
_space_group_name_H-M_alt 'P 1'
_space_group_IT_number 1
_space_group_name_Hall 'P 1'
loop_
_atom_site_label
_atom_site_fract_x
_atom_site_fract_y
_atom_site_fract_z
_atom_site_occupancy
Zn1 0.0000 0.0000 0.2054 1
Zn2 0.0000 0.0000 0.7946 1
Co1 0.5000 0.5000 0.0000 1
Cl1 0.5000 0.5000 0.5000 1
```

***

Material: Ti3CdN
Method: DFT, meta-GGA SCAN
State: single point on PBEsol structure

Summary:
Raw formation energy in eV per atom: -0.96

```
data_Ti3CdN
_chemical_formula_sum 'Ti3 Cd1 N1'
_cell_length_a 4.1388
_cell_length_b 4.1388
_cell_length_c 4.1388
_cell_angle_alpha 90.00
_cell_angle_beta 90.00
_cell_angle_gamma 90.00
_space_group_name_H-M_alt 'P 1'
_space_group_IT_number 1
_space_group_name_Hall 'P 1'
loop_
_atom_site_label
_atom_site_fract_x
_atom_site_fract_y
_atom_site_fract_z
_atom_site_occupancy
Ti1 0.0000 0.0000 0.5000 1
Ti2 0.0000 0.5000 0.0000 1
Ti3 0.5000 0.0000 0.0000 1
Cd1 0.5000 0.5000 0.5000 1
N1 0.0000 0.0000 0.0000 1
```

***

Material: AgPPd5
Method: DFT, meta-GGA SCAN
State: single point on PBEsol structure

Summary:
Energy relative to the elements in eV per formula unit: -2.32

```
data_AgPPd5
_chemical_formula_sum 'Ag1 P1 Pd5'
_cell_length_a 3.8999
_cell_length_b 3.8999
_cell_length_c 6.8271
_cell_angle_alpha 90.00
_cell_angle_beta 90.00
_cell_angle_gamma 90.00
_space_group_name_H-M_alt 'P 1'
_space_group_IT_number 1
_space_group_name_Hall 'P 1'
loop_
_atom_site_label
_atom_site_fract_x
_atom_site_fract_y
_atom_site_fract_z
_atom_site_occupancy
Ag1 0.0000 0.0000 0.0000 1
P1 0.5000 0.5000 0.5000 1
Pd1 0.0000 0.5000 0.2979 1
Pd2 0.0000 0.5000 0.7021 1
Pd3 0.5000 0.0000 0.2979 1
Pd4 0.5000 0.0000 0.7021 1
Pd5 0.5000 0.5000 0.0000 1
```

***

Material: AlAs2Pb
Method: DFT, meta-GGA SCAN
State: single point on PBEsol structure

Summary:
Distance to the lowest polymorph of the same formula in eV/atom: 0.147
Energy relative to the elements in eV per formula unit: -0.03

```
data_AlAs2Pb
_chemical_formula_sum 'Al1 As2 Pb1'
_cell_length_a 4.6409
_cell_length_b 3.8818
_cell_length_c 5.2750
_cell_angle_alpha 90.00
_cell_angle_beta 108.89
_cell_angle_gamma 90.00
_space_group_name_H-M_alt 'P 1'
_space_group_IT_number 1
_space_group_name_Hall 'P 1'
loop_
_atom_site_label
_atom_site_fract_x
_atom_site_fract_y
_atom_site_fract_z
_atom_site_occupancy
Al1 0.0000 0.0000 0.0000 1
As1 0.2519 0.5000 0.8163 1
As2 0.7481 0.5000 0.1837 1
Pb1 0.5000 0.0000 0.5000 1
```

***

Material: CrSiNi2
Method: DFT, meta-GGA SCAN
State: single point on PBEsol structure

Summary:
Raw formation energy in eV per atom: -0.23

```
data_CrSiNi2
_chemical_formula_sum 'Cr1 Si1 Ni2'
_cell_length_a 3.9407
_cell_length_b 3.9407
_cell_length_c 3.9407
_cell_angle_alpha 60.00
_cell_angle_beta 60.00
_cell_angle_gamma 60.00
_space_group_name_H-M_alt 'P 1'
_space_group_IT_number 1
_space_group_name_Hall 'P 1'
loop_
_atom_site_label
_atom_site_fract_x
_atom_site_fract_y
_atom_site_fract_z
_atom_site_occupancy
Cr1 0.0000 0.0000 0.0000 1
Si1 0.2500 0.2500 0.2500 1
Ni1 0.5000 0.5000 0.5000 1
Ni2 0.7500 0.7500 0.7500 1
```

***

Material: Ta4AlTc
Method: DFT, meta-GGA SCAN
State: single point on PBEsol structure

Summary:
Energy relative to the elements in eV per formula unit: 1.56

```
data_Ta4AlTc
_chemical_formula_sum 'Ta4 Al1 Tc1'
_cell_length_a 5.2938
_cell_length_b 5.2938
_cell_length_c 5.2938
_cell_angle_alpha 60.00
_cell_angle_beta 60.00
_cell_angle_gamma 60.00
_space_group_name_H-M_alt 'P 1'
_space_group_IT_number 1
_space_group_name_Hall 'P 1'
loop_
_atom_site_label
_atom_site_fract_x
_atom_site_fract_y
_atom_site_fract_z
_atom_site_occupancy
Ta1 0.1251 0.1251 0.1251 1
Ta2 0.1251 0.1251 0.6247 1
Ta3 0.1251 0.6247 0.1251 1
Ta4 0.6247 0.1251 0.1251 1
Al1 0.5000 0.5000 0.5000 1
Tc1 0.7500 0.7500 0.7500 1
```

***

Material: Te2HIF
Method: DFT, meta-GGA SCAN
State: single point on PBEsol structure

Summary:
Total DFT energy (no corrections) in eV/cell: -117.0

```
data_Te2HIF
_chemical_formula_sum 'Te2 H1 I1 F1'
_cell_length_a 4.4393
_cell_length_b 4.4393
_cell_length_c 4.9717
_cell_angle_alpha 90.00
_cell_angle_beta 90.00
_cell_angle_gamma 90.00
_space_group_name_H-M_alt 'P 1'
_space_group_IT_number 1
_space_group_name_Hall 'P 1'
loop_
_atom_site_label
_atom_site_fract_x
_atom_site_fract_y
_atom_site_fract_z
_atom_site_occupancy
Te1 0.0000 0.5000 0.0000 1
Te2 0.5000 0.0000 0.0000 1
H1 0.0000 0.0000 0.0000 1
I1 0.0000 0.0000 0.5000 1
F1 0.5000 0.5000 0.5000 1
```

***

Material: Sr6YScB6O18
Method: DFT, meta-GGA SCAN
State: single point on PBEsol structure

Summary:
Raw formation energy in eV per atom: -3.23

```
data_Sr6YScB6O18
_chemical_formula_sum 'Sr6 Y1 Sc1 B6 O18'
_cell_length_a 7.6805
_cell_length_b 7.6805
_cell_length_c 7.6805
_cell_angle_alpha 104.97
_cell_angle_beta 104.97
_cell_angle_gamma 104.97
_space_group_name_H-M_alt 'P 1'
_space_group_IT_number 1
_space_group_name_Hall 'P 1'
loop_
_atom_site_label
_atom_site_fract_x
_atom_site_fract_y
_atom_site_fract_z
_atom_site_occupancy
Sr1 0.1608 0.2638 0.6483 1
Sr2 0.2638 0.6483 0.1608 1
Sr3 0.3517 0.8392 0.7362 1
Sr4 0.6483 0.1608 0.2638 1
Sr5 0.7362 0.3517 0.8392 1
Sr6 0.8392 0.7362 0.3517 1
Y1 0.0000 0.0000 0.0000 1
Sc1 0.5000 0.5000 0.5000 1
B1 0.0411 0.3771 0.2953 1
B2 0.2953 0.0411 0.3771 1
B3 0.3771 0.2953 0.0411 1
B4 0.6229 0.7047 0.9589 1
B5 0.7047 0.9589 0.6229 1
B6 0.9589 0.6229 0.7047 1
O1 0.0170 0.8172 0.7267 1
O2 0.0755 0.5503 0.8090 1
O3 0.1828 0.2733 0.9830 1
O4 0.1910 0.9245 0.4497 1
O5 0.2188 0.4979 0.4334 1
O6 0.2733 0.9830 0.1828 1
O7 0.4334 0.2188 0.4979 1
O8 0.4497 0.1910 0.9245 1
O9 0.4979 0.4334 0.2188 1
O10 0.5021 0.5666 0.7812 1
O11 0.5503 0.8090 0.0755 1
O12 0.5666 0.7812 0.5021 1
O13 0.7267 0.0170 0.8172 1
O14 0.7812 0.5021 0.5666 1
O15 0.8090 0.0755 0.5503 1
O16 0.8172 0.7267 0.0170 1
O17 0.9245 0.4497 0.1910 1
O18 0.9830 0.1828 0.2733 1
```